No. 1
Compound: RbPm2Nd
Source: Alexandria
Functional: PBE
Structure: relaxed

Summary:
Symmetry: R-3m, No. 166

```
4
Lattice="3.715 0.000 0.000 1.857 3.217 0.000 1.857 1.072 13.598" Properties=species:S:1:pos:R:3 pbc="T T T"
Nd 3.715 2.145 6.799
Rb 0.000 0.000 0.000
Pm 1.857 1.072 9.711
Pm 5.572 3.217 3.887
```

=====

No. 2
Compound: TbMgRu
Source: Alexandria
Functional: PBE
Structure: relaxed

Summary:
Symmetry: P3m1, No. 156

```
3
Lattice="3.475 0.000 0.000 0.000 4.552 0.000 0.000 -2.276 3.943" Properties=species:S:1:pos:R:3 pbc="T T T"
Ru 0.520 0.000 2.628
Mg 0.616 0.000 0.000
Tb 2.340 2.276 1.314
```

=====

No. 3
Compound: As3Ru
Source: Alexandria
Functional: PBE
Structure: relaxed

Summary:
Symmetry: Pm-3m, No. 221
E above lowest polymorph (meV per atom): 506

```
4
Lattice="4.095 0.000 0.000 0.000 4.095 0.000 0.000 0.000 4.095" Properties=species:S:1:pos:R:3 pbc="T T T"
Ru 0.000 0.000 0.000
As 0.000 2.047 2.047
As 2.047 0.000 2.047
As 2.047 2.047 0.000
```

=====

No. 4
Compound: La3TbHo2
Source: Alexandria
Functional: PBE
Structure: relaxed

Summary:
Symmetry: P-1, No. 2
E above lowest polymorph (meV per atom): 0

```
12
Lattice="-6.397 2.861 -1.683 -6.827 0.698 4.263 3.724 7.199 5.135" Properties=species:S:1:pos:R:3 pbc="T T T"
La -7.387 3.755 3.641
La -2.114 7.003 4.074
La -6.727 3.157 0.093
La -1.220 3.649 2.923
La -8.280 7.110 4.792
La -2.773 7.601 7.622
Tb 1.085 5.573 4.916
Tb -10.585 5.185 2.798
Ho -5.081 5.678 5.631
Ho -3.528 1.727 0.932
Ho -5.972 9.031 6.783
Ho -4.419 5.080 2.084
```

=====

No. 5
Compound: CsTaAl
Source: Alexandria
Functional: PBE
Structure: relaxed

Summary:
Symmetry: P-1, No. 2
E above lowest polymorph (meV per atom): 106

```
6
Lattice="-4.082 -0.666 -1.974 -2.816 -3.243 1.598 -6.068 7.679 8.649" Properties=species:S:1:pos:R:3 pbc="T T T"
Cs -6.710 3.684 5.996
Cs -6.255 0.086 2.277
Al -3.339 -2.396 2.396
Al -9.626 6.166 5.877
Ta -2.304 -1.296 -0.119
Ta -10.662 5.066 8.392
```

=====

No. 6
Compound: Tl2PW
Source: Alexandria
Functional: PBE
Structure: relaxed

Summary:
Symmetry: Immm, No. 71
E above lowest polymorph (meV per atom): 879

```
4
Lattice="-1.739 2.417 4.738 1.739 -2.417 4.738 1.739 2.417 -4.738" Properties=species:S:1:pos:R:3 pbc="T T T"
Tl 0.000 0.000 7.014
Tl 0.000 0.000 2.462
P 0.000 2.417 0.000
W 1.739 0.000 0.000
```

=====

no.,total DFT energy (no corrections) (eV per cell),calculated formation energy (meV per atom)
1,-14.2,257
2,-15.7,-60
3,-21.3,481
4,-57.0,12
5,-31.0,323
6,-18.7,1094